Computed, not measured: a PBEsol-optimized structure of CdPt2Rh at the meta-GGA SCAN level of DFT.

Computed properties:
The total energy comes out at -205.08 eV per cell. As for the total magnetization: 0.2 μB per formula unit. For the energy relative to the elements, the calculation gives -0.127 eV/atom.

abc: 2.7796 3.9390 5.6330
angles: 90.00 90.00 90.00
Closest atoms and distances in Å follow each position.
Space group Pmmm (No. 47)
Unique sites:
Cd 0.0000 0.0000 0.0000 (multiplicity 1)  2 Cd 2.78, 2 Rh 2.82, 8 Pt 2.84
Pt 0.5000 0.5000 0.2651 (multiplicity 2)  3 Pt 2.65-2.78, 4 Rh 2.75, 4 Cd 2.84
Rh 0.0000 0.0000 0.5000 (multiplicity 1)  8 Pt 2.75, 2 Rh 2.78, 2 Cd 2.82



Computed, not measured: a PBEsol-optimized structure of CdPt2Rh at the meta-GGA SCAN level of DFT.

Computed properties:
The total energy comes out at -410.51 eV per cell. As for the total magnetization: 0.0 μB per formula unit. For the energy relative to the elements, the calculation gives -0.170 eV/atom.

abc: 5.5874 7.8630 2.7830
angles: 90.00 90.00 90.00
Closest atoms and distances in Å follow each position.
Space group Cmmm (No. 65)
Unique sites:
Cd 0.0000 0.0000 0.0000 (multiplicity 2)  2 Cd 2.78, 8 Pt 2.78, 2 Rh 2.79
Pt 0.2500 0.2500 0.5000 (multiplicity 4)  4 Pt 2.78-2.79, 4 Cd 2.78, 4 Rh 2.78
Rh 0.0000 0.5000 0.0000 (multiplicity 2)  2 Rh 2.78, 8 Pt 2.78, 2 Cd 2.79



Computed, not measured: a PBEsol-optimized structure of CdPt2Rh at the meta-GGA SCAN level of DFT.

Computed properties:
The total energy comes out at -410.19 eV per cell. As for the total magnetization: 1.3 μB per formula unit. For the energy relative to the elements, the calculation gives -0.130 eV/atom.

abc: 3.9289 3.9289 7.9647
angles: 90.00 90.00 90.00
Closest atoms and distances in Å follow each position.
Space group I4/mmm (No. 139)
Unique sites:
Cd 0.0000 0.0000 0.0000 (multiplicity 2)  4 Rh 2.78, 8 Pt 2.80
Pt 0.0000 0.5000 0.2500 (multiplicity 4)  4 Pt 2.78, 4 Cd 2.80, 4 Rh 2.80
Rh 0.0000 0.0000 0.5000 (multiplicity 2)  4 Cd 2.78, 8 Pt 2.80



Question: What is the energy relative to the elements in the third record?
Answer: -0.130 eV/atom